The following is a DFT calculation (PBE) of a relaxed structure of BeFe3.

Results
The calculation puts the total energy at -7.1788 eV per atom.

POSCAR file:
```
BeFe3
1.0
-1.989 3.465 1.759
-1.145 3.028 -2.928
-0.551 -4.320 0.303
Fe Be
3 1
Direct
0.750 0.250 0.500 Fe
0.500 0.500 0.000 Fe
0.250 0.750 0.500 Fe
0.000 0.000 0.000 Be
```

***

The following is a DFT calculation (PBE) of a relaxed structure of Be2Fe3.

Results
The calculation puts the total energy at -6.6253 eV per atom.

POSCAR file:
```
Be2Fe3
1.0
-0.654 -4.194 -3.926
5.669 -1.111 0.242
-0.461 -1.895 2.101
Fe Be
6 4
Direct
0.172 0.672 0.500 Fe
0.828 0.328 0.500 Fe
0.000 0.000 0.000 Fe
0.672 0.828 0.500 Fe
0.328 0.172 0.500 Fe
0.500 0.500 0.000 Fe
0.374 0.874 0.000 Be
0.626 0.126 0.000 Be
0.874 0.626 0.000 Be
0.126 0.374 0.000 Be
```

***

The following is a DFT calculation (PBE) of a relaxed structure of Be2Fe.

Results
The calculation puts the total energy at -4.7840 eV per atom.

POSCAR file:
```
Be2Fe
1.0
-4.457 3.129 1.479
-2.126 -0.571 -5.196
-1.047 -1.787 0.625
Fe Be
2 4
Direct
0.000 0.000 0.000 Fe
0.500 0.500 0.500 Fe
0.242 0.758 0.500 Be
0.742 0.742 0.000 Be
0.258 0.258 0.000 Be
0.758 0.242 0.500 Be
```

***

The following is a DFT calculation (PBE) of a relaxed structure of BeFe2.

Results
The calculation puts the total energy at -4.3808 eV per atom.

POSCAR file:
```
BeFe2
1.0
3.254 1.879 5.313
-3.254 1.879 5.313
0.000 -3.757 5.313
Fe Be
4 2
Direct
0.875 0.875 0.875 Fe
0.875 0.375 0.875 Fe
0.875 0.875 0.375 Fe
0.375 0.875 0.875 Fe
0.000 0.000 0.000 Be
0.750 0.750 0.750 Be
```

***

The following is a DFT calculation (PBE) of a relaxed structure of BeGaFe2.

Results
The calculation puts the total energy at -5.9165 eV per atom.

POSCAR file:
```
BeGaFe2
1.0
2.073 -3.287 -0.815
-0.795 -3.378 1.930
-1.734 -3.018 -1.912
Be Fe Ga
1 2 1
Direct
0.250 0.250 0.250 Be
0.750 0.750 0.750 Fe
0.500 0.500 0.500 Fe
0.000 0.000 0.000 Ga
```

***

The following is a DFT calculation (PBE) of a relaxed structure of BeGaFe2.

Results
The calculation puts the total energy at -5.9320 eV per atom.

POSCAR file:
```
BeGaFe2
1.0
-3.655 3.763 -1.832
1.464 -1.129 -5.240
-3.921 -3.929 -0.249
Be Fe Ga
4 8 4
Direct
0.000 0.500 0.500 Be
0.500 0.500 0.000 Be
0.500 0.500 0.500 Be
0.500 0.000 0.500 Be
0.268 0.268 0.268 Fe
0.732 0.268 0.732 Fe
0.732 0.268 0.268 Fe
0.732 0.732 0.732 Fe
0.732 0.732 0.268 Fe
0.268 0.732 0.268 Fe
0.268 0.732 0.732 Fe
0.268 0.268 0.732 Fe
0.000 0.000 0.500 Ga
0.500 0.000 0.000 Ga
0.000 0.000 0.000 Ga
0.000 0.500 0.000 Ga
```

***

The following is a DFT calculation (PBE) of a relaxed structure of BeGa2Fe.

Results
The calculation puts the total energy at -4.2384 eV per atom.

POSCAR file:
```
BeGa2Fe
1.0
0.000 2.918 2.918
2.918 0.000 2.918
2.918 2.918 0.000
Ga Fe Be
2 1 1
Direct
0.250 0.250 0.250 Ga
0.500 0.500 0.500 Ga
0.000 0.000 0.000 Fe
0.750 0.750 0.750 Be
```

***

The following is a DFT calculation (PBE) of a relaxed structure of BeGaFe.

Results
The calculation puts the total energy at -4.8348 eV per atom.

POSCAR file:
```
BeGaFe
1.0
-1.433 -3.294 -1.027
-2.143 -1.928 2.377
-3.668 -0.325 -0.634
Be Fe Ga
1 1 1
Direct
0.000 0.000 0.000 Be
0.250 0.250 0.250 Fe
0.750 0.750 0.750 Ga
```